[1]
Entry from Alexandria via LeMat-Bulk: an optimized crystal structure of SrZrI2O (PBE).

abc: 6.0826 6.0826 4.0667
angles: 90.00 90.00 90.00
Each line ends with the local moment (μB).
Fractional positions:
Sr1 0.5000 0.5000 0.5000  0.01
I1 0.5000 0.0000 0.0000  0.01
I2 0.0000 0.5000 0.0000  0.01
O1 0.0000 0.0000 0.5000  -0.02
Zr1 0.0000 0.0000 0.0000  0.49

Values from the calculation:
**Formation energy without anion corrections**: -1.379 eV per atom
**Spin magnetization**: 0.79 Bohr magnetons per cell
**SG**: No. 123
**Fermi-level density of states**: 3.03 states/eV/cell

---

[2]
Entry from Alexandria via LeMat-Bulk: an optimized crystal structure of Hf4SnS8 (PBE).

abc: 7.1986 7.1986 8.1180
angles: 63.68 63.68 60.00
Fractional positions:
Hf1 0.5000 0.0000 0.0000
Hf2 0.5000 0.5000 0.0000
Hf3 0.0000 0.5000 0.0000
Hf4 0.0000 0.0000 0.0000
S1 0.2599 0.7610 0.2182
S2 0.7610 0.2599 0.2182
S3 0.7367 0.7367 0.7898
S4 0.7610 0.7610 0.2182
S5 0.2390 0.2390 0.7818
S6 0.2390 0.7401 0.7818
S7 0.7401 0.2390 0.7818
S8 0.2633 0.2633 0.2102
Sn1 0.5000 0.5000 0.5000

Values from the calculation:
**Formation energy without anion corrections**: -1.390 eV per atom
**Spin magnetization**: 0.00 Bohr magnetons per cell
**SG**: No. 166
**Fermi-level density of states**: 5.07 states/eV/cell

---

[3]
Entry from Alexandria via LeMat-Bulk: an optimized crystal structure of HfTiI2 (PBE).

abc: 4.9828 4.9828 4.9828
angles: 60.00 60.00 60.00
Each line ends with the local moment (μB).
Fractional positions:
Hf1 0.5000 0.5000 0.5000  0.20
I1 0.7500 0.7500 0.7500  0.00
I2 0.2500 0.2500 0.2500  0.00
Ti1 0.0000 0.0000 0.0000  1.02

Values from the calculation:
**Formation energy without anion corrections**: 0.241 eV per atom
**Spin magnetization**: 1.64 Bohr magnetons per cell
**SG**: No. 225
**Fermi-level density of states**: 5.04 states/eV/cell

---

[4]
Entry from Alexandria via LeMat-Bulk: an optimized crystal structure of Tb2As3PtRh4 (PBE).

abc: 4.0271 4.0271 11.1521
angles: 90.00 90.00 90.00
Fractional positions:
Rh1 0.0000 0.0000 0.0000
Rh2 0.5000 0.0000 0.6628
Rh3 0.5000 0.5000 0.0000
Rh4 0.0000 0.5000 0.3372
As1 0.0000 0.0000 0.5000
As2 0.5000 0.0000 0.8715
As3 0.0000 0.5000 0.1285
Pt1 0.5000 0.5000 0.5000
Tb1 0.0000 0.5000 0.7330
Tb2 0.5000 0.0000 0.2670

Values from the calculation:
**Spin magnetization**: 0.00 Bohr magnetons per cell
**Calculated formation energy**: -78.47 kJ per mole of atoms
**SG**: No. 115
**Fermi-level density of states**: 5.32 states/eV/cell

---

[5]
Entry from Alexandria via LeMat-Bulk: an optimized crystal structure of MnInHg2Se4 (PBE).

abc: 6.2380 6.2384 7.5512
angles: 114.40 114.40 90.01
Each line ends with the local moment (μB).
Fractional positions:
Mn1 0.9858 0.4858 0.9717  4.04
Hg1 0.2358 0.2359 0.4717  0.01
Hg2 0.4859 0.9859 0.9719  -0.01
Se1 0.6380 0.6045 0.7338  0.00
Se2 0.3424 0.8337 0.2098  0.00
Se3 0.0958 0.1294 0.7338  0.00
Se4 0.8673 0.3761 0.2097  0.00
In1 0.7359 0.7358 0.4717  -0.01

Values from the calculation:
**Formation energy without anion corrections**: -0.301 eV per atom
**Spin magnetization**: 4.46 Bohr magnetons per cell
**SG**: No. 82
**Fermi-level density of states**: 3.54 states/eV/cell

---

[6]
Entry from Alexandria via LeMat-Bulk: an optimized crystal structure of YHOs2 (PBE).

abc: 5.5557 5.5557 5.5544
angles: 59.99 59.99 90.00
Fractional positions:
Os1 0.8750 0.6249 0.7500
Os2 0.3750 0.6251 0.7500
Os3 0.3749 0.1250 0.2500
Os4 0.3751 0.6250 0.2500
H1 0.5000 0.5000 0.0000
H2 0.2500 0.7500 0.5000
Y1 0.7500 0.2500 0.5000
Y2 0.0000 0.0000 0.0000

Values from the calculation:
**Spin magnetization**: 0.00 Bohr magnetons per cell
**SG**: No. 227
**Energy**: -7.964 eV/atom
**Fermi-level density of states**: 6.27 states/eV/cell

---

[7]
Entry from Alexandria via LeMat-Bulk: an optimized crystal structure of RbLiP2S (PBE).

abc: 6.2962 6.2962 5.9305
angles: 90.00 90.00 90.00
Each line ends with the local moment (μB).
Fractional positions:
P1 0.0000 0.5000 0.0000  1.03
P2 0.5000 0.0000 0.0000  1.03
S1 0.0000 0.0000 0.5000  0.19
Li1 0.5000 0.5000 0.5000  -0.01
Rb1 0.0000 0.0000 0.0000  0.05

Values from the calculation:
**Formation energy without anion corrections**: 1.354 eV per atom
**Spin magnetization**: 5.28 Bohr magnetons per cell
**SG**: No. 123
**Fermi-level density of states**: 5.74 states/eV/cell

---

[8]
Entry from Alexandria via LeMat-Bulk: an optimized crystal structure of MgNbPb2Au (PBE).

abc: 5.5340 5.2588 5.5340
angles: 90.00 90.00 90.00
Each line ends with the local moment (μB).
Fractional positions:
Pb1 0.0000 0.0000 0.5000  -0.03
Pb2 0.5000 0.0000 0.0000  0.00
Mg1 0.5000 0.5000 0.5000  -0.01
Au1 0.0000 0.0000 0.0000  0.07
Nb1 0.0000 0.5000 0.0000  2.15

Values from the calculation:
**Spin magnetization**: 2.75 Bohr magnetons per cell
**Calculated formation energy**: 86.52 kJ per mole of atoms
**SG**: No. 123
**Fermi-level density of states**: 6.10 states/eV/cell

---

[9]
Entry from Alexandria via LeMat-Bulk: an optimized crystal structure of Tb2Ho8Pb (PBE).

abc: 5.5314 6.4133 10.0754
angles: 84.97 105.93 90.00
Fractional positions:
Ho1 0.3369 0.1242 0.6738
Ho2 0.9550 0.2713 0.9101
Ho3 0.0450 0.7287 0.0899
Ho4 0.5788 0.4021 0.1575
Ho5 0.8461 0.8034 0.6922
Ho6 0.4212 0.5979 0.8425
Ho7 0.6631 0.8758 0.3262
Ho8 0.1539 0.1966 0.3078
Pb1 0.5000 0.0000 0.0000
Tb1 0.7560 0.3362 0.5119
Tb2 0.2440 0.6638 0.4881

Values from the calculation:
**Spin magnetization**: 0.00 Bohr magnetons per cell
**Calculated formation energy**: -5.23 kJ per mole of atoms
**SG**: No. 12
**Fermi-level density of states**: 15.34 states/eV/cell

---

[10]
Entry from Alexandria via LeMat-Bulk: an optimized crystal structure of Cr2CdCu (PBE).

abc: 4.9706 4.9706 2.5699
angles: 90.00 90.00 119.28
Fractional positions:
Cr1 0.5000 0.5000 0.0000
Cr2 0.0000 0.0000 0.0000
Cd1 0.0000 0.5000 0.5000
Cu1 0.5000 0.0000 0.5000

Values from the calculation:
**Spin magnetization**: 0.00 Bohr magnetons per cell
**Calculated formation energy**: 56.33 kJ per mole of atoms
**SG**: No. 65
**Fermi-level density of states**: 3.11 states/eV/cell

---

[11]
Entry from Alexandria via LeMat-Bulk: an optimized crystal structure of GdZr2Re (PBE).

abc: 3.3513 3.3513 8.0931
angles: 90.00 90.00 90.00
Each line ends with the local moment (μB).
Fractional positions:
Zr1 0.0000 0.0000 0.8057  -0.11
Zr2 0.0000 0.0000 0.1943  -0.11
Gd1 0.5000 0.5000 0.5000  -7.32
Re1 0.5000 0.5000 0.0000  -0.05

Values from the calculation:
**Spin magnetization**: 8.13 Bohr magnetons per cell
**Calculated formation energy**: -2.92 kJ per mole of atoms
**SG**: No. 123
**Fermi-level density of states**: 5.23 states/eV/cell

---

[12]
Entry from Alexandria via LeMat-Bulk: an optimized crystal structure of Ac3Mg3Tl8 (PBE).

abc: 4.9221 9.6181 9.6181
angles: 75.17 75.17 75.17
Fractional positions:
Mg1 0.0000 0.1746 0.8254
Mg2 0.0000 0.8254 0.1746
Mg3 0.5000 0.0000 0.0000
Ac1 0.2069 0.7931 0.7931
Ac2 0.7931 0.2069 0.2069
Ac3 0.5000 0.5000 0.5000
Tl1 0.1430 0.2219 0.4922
Tl2 0.6393 0.6600 0.0613
Tl3 0.3607 0.9387 0.3400
Tl4 0.6393 0.0613 0.6600
Tl5 0.3607 0.3400 0.9387
Tl6 0.1430 0.4922 0.2219
Tl7 0.8570 0.5078 0.7781
Tl8 0.8570 0.7781 0.5078

Values from the calculation:
**Spin magnetization**: 0.00 Bohr magnetons per cell
**Calculated formation energy**: -21.12 kJ per mole of atoms
**SG**: No. 71
**Fermi-level density of states**: 5.74 states/eV/cell

---

[13]
Entry from Alexandria via LeMat-Bulk: an optimized crystal structure of Er4Se3S (PBE).

abc: 3.9658 6.9506 6.9506
angles: 109.17 90.00 90.00
Fractional positions:
Er1 0.5000 0.2368 0.7632
Er2 0.0000 0.7722 0.7722
Er3 0.0000 0.2278 0.2278
Er4 0.5000 0.7632 0.2368
Se1 0.5000 0.5000 0.5000
Se2 0.0000 0.5000 0.0000
Se3 0.0000 0.0000 0.5000
S1 0.5000 0.0000 0.0000

Values from the calculation:
**Formation energy without anion corrections**: -1.764 eV per atom
**Spin magnetization**: 0.00 Bohr magnetons per cell
**SG**: No. 65
**Fermi-level density of states**: 3.37 states/eV/cell

---

[14]
Entry from Alexandria via LeMat-Bulk: an optimized crystal structure of Na2Ac3Mg2Pb4 (PBE).

abc: 5.2168 5.2168 15.9541
angles: 90.00 90.00 120.00
Fractional positions:
Pb1 0.3333 0.6667 0.3566
Pb2 0.3333 0.6667 0.8861
Pb3 0.6667 0.3333 0.6434
Pb4 0.6667 0.3333 0.1139
Na1 0.3333 0.6667 0.5630
Na2 0.6667 0.3333 0.4370
Ac1 0.0000 0.0000 0.0000
Ac2 0.0000 0.0000 0.7297
Ac3 0.0000 0.0000 0.2703
Mg1 0.3333 0.6667 0.1506
Mg2 0.6667 0.3333 0.8494

Values from the calculation:
**Spin magnetization**: 0.00 Bohr magnetons per cell
**Calculated formation energy**: -30.90 kJ per mole of atoms
**SG**: No. 164
**Fermi-level density of states**: 8.85 states/eV/cell

---

[15]
Entry from Alexandria via LeMat-Bulk: an optimized crystal structure of AuN (PBE).

abc: 6.8948 10.4952 6.3855
angles: 90.00 90.00 90.00
Fractional positions:
N1 0.5000 0.1408 0.0000
N2 0.0000 0.3592 0.0000
N3 0.0000 0.1408 0.5000
N4 0.7500 0.6092 0.2500
N5 0.2500 0.6092 0.7500
N6 0.0000 0.8592 0.5000
N7 0.0000 0.6408 0.0000
N8 0.2500 0.3908 0.2500
N9 0.5000 0.8592 0.0000
N10 0.2500 0.8908 0.7500
N11 0.5000 0.3592 0.5000
N12 0.7500 0.8908 0.2500
N13 0.2500 0.1092 0.2500
N14 0.5000 0.6408 0.5000
N15 0.7500 0.1092 0.7500
N16 0.7500 0.3908 0.7500
Au1 0.0000 0.5000 0.7199
Au2 0.7500 0.7500 0.5301
Au3 0.0000 0.0000 0.2199
Au4 0.5000 0.0000 0.7199
Au5 0.7500 0.2500 0.4699
Au6 0.0000 0.0000 0.7801
Au7 0.5000 0.5000 0.7801
Au8 0.2500 0.2500 0.5301
Au9 0.0000 0.5000 0.2801
Au10 0.7500 0.7500 0.9699
Au11 0.5000 0.0000 0.2801
Au12 0.5000 0.5000 0.2199
Au13 0.7500 0.2500 0.0301
Au14 0.2500 0.2500 0.9699
Au15 0.2500 0.7500 0.0301
Au16 0.2500 0.7500 0.4699

Values from the calculation:
**Formation energy without anion corrections**: 1.605 eV per atom
**Spin magnetization**: 0.00 Bohr magnetons per cell
**SG**: No. 70
**Fermi-level density of states**: 26.88 states/eV/cell

---

[16]
Entry from Alexandria via LeMat-Bulk: an optimized crystal structure of TePOF2 (PBE).

abc: 4.7805 4.7805 3.3957
angles: 90.00 90.00 90.00
Each line ends with the local moment (μB).
Fractional positions:
F1 0.5000 0.0000 0.0000  0.09
F2 0.0000 0.5000 0.0000  0.09
P1 0.0000 0.0000 0.0000  -0.02
Te1 0.5000 0.5000 0.5000  0.73
O1 0.0000 0.0000 0.5000  0.03

Values from the calculation:
**Formation energy without anion corrections**: -0.604 eV per atom
**Spin magnetization**: 1.41 Bohr magnetons per cell
**SG**: No. 123
**Fermi-level density of states**: 3.32 states/eV/cell

---

[17]
Entry from Alexandria via LeMat-Bulk: an optimized crystal structure of LaScInAu2 (PBE).

abc: 5.4961 5.7614 5.4961
angles: 90.00 90.00 90.00
Fractional positions:
Au1 0.5000 0.0000 0.0000
Au2 0.0000 0.0000 0.5000
Sc1 0.0000 0.5000 0.0000
In1 0.5000 0.5000 0.5000
La1 0.0000 0.0000 0.0000

Values from the calculation:
**Spin magnetization**: 0.00 Bohr magnetons per cell
**Calculated formation energy**: 59.19 kJ per mole of atoms
**SG**: No. 123
**Fermi-level density of states**: 4.66 states/eV/cell

---

[18]
Entry from Alexandria via LeMat-Bulk: an optimized crystal structure of Sm3SbTe3 (PBE).

abc: 9.2690 9.2690 8.2833
angles: 55.98 55.98 60.00
Fractional positions:
Te1 0.6462 0.1810 0.2738
Te2 0.1009 0.3538 0.7262
Te3 0.8991 0.6462 0.2738
Te4 0.8190 0.1009 0.7262
Te5 0.3538 0.8190 0.7262
Te6 0.1810 0.8991 0.2738
Sm1 0.0676 0.7000 0.7639
Sm2 0.9324 0.3000 0.2361
Sm3 0.5314 0.9324 0.2361
Sm4 0.4686 0.0676 0.7639
Sm5 0.3000 0.5314 0.2361
Sm6 0.7000 0.4686 0.7639
Sb1 0.6619 0.6619 0.0144
Sb2 0.3381 0.3381 0.9856

Values from the calculation:
**Formation energy without anion corrections**: -1.263 eV per atom
**Spin magnetization**: 0.00 Bohr magnetons per cell
**SG**: No. 148
**Fermi-level density of states**: 0.34 states/eV/cell